1.
DFT (PBE) results for Y2GaSe after structural relaxation.

Unit cell a=8.075 b=8.075 c=8.075 alpha=27.69 beta=27.69 gamma=27.69
Element x y z (fractional)
Y 0.000 0.000 0.000
Y 0.166 0.166 0.166
Ga 0.582 0.582 0.582
Se 0.751 0.751 0.751

VASP energy, eV per atom: -5.98
Offset from the most stable computed form, meV per atom: 150
Spin magnetization, μB/f.u.: 0.0
Symmetry: R3m (160)


2.
DFT (PBE) results for Y2GaSe after structural relaxation.

Unit cell a=5.110 b=5.110 c=5.110 alpha=60.00 beta=60.00 gamma=60.00
Element x y z (fractional)
Y 0.250 0.250 0.250
Y 0.750 0.750 0.750
Ga 0.000 0.000 0.000
Se 0.500 0.500 0.500

VASP energy, eV per atom: -5.66
Offset from the most stable computed form, meV per atom: 465
Spin magnetization, μB/f.u.: 0.0
Symmetry: Fm-3m (225)


3.
DFT (PBE) results for Y2GaSe after structural relaxation.

Unit cell a=6.464 b=6.464 c=6.464 alpha=106.96 beta=106.96 gamma=114.63
Element x y z (fractional)
Y 0.115 0.625 0.990
Y 0.375 0.365 0.490
Y 0.635 0.125 0.010
Y 0.875 0.885 0.510
Ga 0.250 0.750 0.500
Ga 0.500 0.500 0.000
Se 0.000 0.000 0.000
Se 0.750 0.250 0.500

VASP energy, eV per atom: -5.68
Offset from the most stable computed form, meV per atom: 453
Spin magnetization, μB/f.u.: 0.0
Symmetry: I-42d (122)


4.
DFT (PBE) results for Y2GaSe after structural relaxation.

Unit cell a=11.399 b=11.399 c=4.049 alpha=90.00 beta=90.00 gamma=158.50
Element x y z (fractional)
Y 0.066 0.934 0.750
Y 0.322 0.678 0.750
Y 0.678 0.322 0.250
Y 0.934 0.066 0.250
Ga 0.460 0.540 0.750
Ga 0.540 0.460 0.250
Se 0.193 0.807 0.750
Se 0.807 0.193 0.250

VASP energy, eV per atom: -6.13
Offset from the most stable computed form, meV per atom: 0
Spin magnetization, μB/f.u.: 0.0
Symmetry: Cmcm (63)


5.
DFT (PBE) results for YGaSe2 after structural relaxation.

Unit cell a=7.811 b=7.811 c=7.811 alpha=127.65 beta=127.65 gamma=77.19
Element x y z (fractional)
Y 0.000 0.000 0.000
Y 0.750 0.250 0.500
Ga 0.250 0.750 0.500
Ga 0.500 0.500 0.000
Se 0.091 0.625 0.966
Se 0.375 0.341 0.466
Se 0.659 0.125 0.034
Se 0.875 0.909 0.534

VASP energy, eV per atom: -5.12
Spin magnetization, μB/f.u.: 0.0
Symmetry: I-42d (122)


6.
DFT (PBE) results for Y3GaSe after structural relaxation.

Unit cell a=5.300 b=5.300 c=5.300 alpha=90.00 beta=90.00 gamma=90.00
Element x y z (fractional)
Y 0.000 0.000 0.500
Y 0.000 0.500 0.000
Y 0.500 0.000 0.000
Ga 0.500 0.500 0.500
Se 0.000 0.000 0.000

VASP energy, eV per atom: -5.71
Offset from the most stable computed form, meV per atom: 0
Spin magnetization, μB/f.u.: 0.0
Symmetry: Pm-3m (221)


7.
DFT (PBE) results for YGa3Se after structural relaxation.

Unit cell a=5.067 b=5.067 c=5.067 alpha=90.00 beta=90.00 gamma=90.00
Element x y z (fractional)
Y 0.000 0.000 0.000
Ga 0.000 0.500 0.500
Ga 0.500 0.000 0.500
Ga 0.500 0.500 0.000
Se 0.500 0.500 0.500

VASP energy, eV per atom: -3.58
Offset from the most stable computed form, meV per atom: 0
Spin magnetization, μB/f.u.: 0.0
Symmetry: Pm-3m (221)


8.
DFT (PBE) results for YZr2GaSe after structural relaxation.

Unit cell a=5.342 b=5.342 c=5.190 alpha=90.00 beta=90.00 gamma=90.00
Element x y z (fractional)
Y 0.000 0.000 0.000
Zr 0.000 0.500 0.000
Zr 0.500 0.000 0.000
Ga 0.500 0.500 0.500
Se 0.000 0.000 0.500

VASP energy, eV per atom: -5.05
Spin magnetization, μB/f.u.: 0.0
Symmetry: P4/mmm (123)


9.
DFT (PBE) results for ZnGaSe2 after structural relaxation.

Unit cell a=9.341 b=9.341 c=9.341 alpha=21.17 beta=21.17 gamma=21.17
Element x y z (fractional)
Zn 0.000 0.000 0.000
Ga 0.500 0.500 0.500
Se 0.393 0.393 0.393
Se 0.607 0.607 0.607

VASP energy, eV per atom: -2.80
Spin magnetization, μB/f.u.: 0.0
Symmetry: R-3m (166)


10.
DFT (PBE) results for Zn2GaSe4 after structural relaxation.

Unit cell a=6.753 b=6.753 c=6.753 alpha=130.86 beta=130.86 gamma=72.03
Element x y z (fractional)
Zn 0.250 0.750 0.500
Zn 0.750 0.250 0.500
Ga 0.000 0.000 0.000
Se 0.148 0.148 0.527
Se 0.380 0.852 0.000
Se 0.620 0.620 0.473
Se 0.852 0.380 0.000

VASP energy, eV per atom: -3.30
Offset from the most stable computed form, meV per atom: 0
Spin magnetization, μB/f.u.: 0.0
Symmetry: I-42m (121)


11.
DFT (PBE) results for ZnGaSe2 after structural relaxation.

Unit cell a=7.743 b=7.743 c=7.743 alpha=30.85 beta=30.85 gamma=30.85
Element x y z (fractional)
Zn 0.000 0.000 0.000
Ga 0.500 0.500 0.500
Se 0.103 0.103 0.103
Se 0.897 0.897 0.897

VASP energy, eV per atom: -3.03
Spin magnetization, μB/f.u.: 0.0
Symmetry: R-3m (166)


12.
DFT (PBE) results for Zn2GaSe after structural relaxation.

Unit cell a=6.562 b=6.562 c=6.562 alpha=122.67 beta=122.67 gamma=85.43
Element x y z (fractional)
Zn 0.115 0.625 0.990
Zn 0.375 0.365 0.490
Zn 0.635 0.125 0.010
Zn 0.875 0.885 0.510
Ga 0.250 0.750 0.500
Ga 0.500 0.500 0.000
Se 0.000 0.000 0.000
Se 0.750 0.250 0.500

VASP energy, eV per atom: -2.33
Offset from the most stable computed form, meV per atom: 0
Spin magnetization, μB/f.u.: 0.0
Symmetry: I-42d (122)


13.
DFT (PBE) results for ZnGaSe2 after structural relaxation.

Unit cell a=7.342 b=7.342 c=7.342 alpha=132.37 beta=132.37 gamma=69.64
Element x y z (fractional)
Zn 0.000 0.000 0.000
Zn 0.750 0.250 0.500
Ga 0.250 0.750 0.500
Ga 0.500 0.500 0.000
Se 0.108 0.625 0.983
Se 0.375 0.358 0.483
Se 0.642 0.125 0.017
Se 0.875 0.892 0.517

VASP energy, eV per atom: -3.26
Spin magnetization, μB/f.u.: 0.0
Symmetry: I-42d (122)


14.
DFT (PBE) results for Zn3GaSe after structural relaxation.

Unit cell a=4.793 b=4.793 c=4.793 alpha=90.00 beta=90.00 gamma=90.00
Element x y z (fractional)
Zn 0.000 0.000 0.500
Zn 0.000 0.500 0.000
Zn 0.500 0.000 0.000
Ga 0.000 0.000 0.000
Se 0.500 0.500 0.500

VASP energy, eV per atom: -1.75
Offset from the most stable computed form, meV per atom: 0
Spin magnetization, μB/f.u.: 0.0
Symmetry: Pm-3m (221)


15.
DFT (PBE) results for ZnGaSe2 after structural relaxation.

Unit cell a=7.244 b=7.244 c=7.244 alpha=33.93 beta=33.93 gamma=33.93
Element x y z (fractional)
Zn 0.000 0.000 0.000
Ga 0.500 0.500 0.500
Se 0.370 0.370 0.370
Se 0.877 0.877 0.877

VASP energy, eV per atom: -3.26
Spin magnetization, μB/f.u.: 0.0
Symmetry: R3m (160)


16.
DFT (PBE) results for ZnGaSe3 after structural relaxation.

Unit cell a=4.992 b=4.992 c=4.992 alpha=90.00 beta=90.00 gamma=90.00
Element x y z (fractional)
Zn 0.000 0.000 0.000
Ga 0.500 0.500 0.500
Se 0.000 0.000 0.500
Se 0.000 0.500 0.000
Se 0.500 0.000 0.000

VASP energy, eV per atom: -2.71
Offset from the most stable computed form, meV per atom: 0
Spin magnetization, μB/f.u.: 0.0
Symmetry: Pm-3m (221)


17.
DFT (PBE) results for ZnGa3Se after structural relaxation.

Unit cell a=4.847 b=4.847 c=4.847 alpha=90.00 beta=90.00 gamma=90.00
Element x y z (fractional)
Zn 0.000 0.000 0.000
Ga 0.000 0.000 0.500
Ga 0.000 0.500 0.000
Ga 0.500 0.000 0.000
Se 0.500 0.500 0.500

VASP energy, eV per atom: -2.64
Offset from the most stable computed form, meV per atom: 0
Spin magnetization, μB/f.u.: 0.0
Symmetry: Pm-3m (221)


18.
DFT (PBE) results for Zn2Ga2Se after structural relaxation.

Unit cell a=7.002 b=7.002 c=3.993 alpha=90.00 beta=90.00 gamma=90.00
Element x y z (fractional)
Zn 0.130 0.370 0.000
Zn 0.370 0.870 0.000
Zn 0.630 0.130 0.000
Zn 0.870 0.630 0.000
Ga 0.169 0.669 0.500
Ga 0.331 0.169 0.500
Ga 0.669 0.831 0.500
Ga 0.831 0.331 0.500
Se 0.000 0.000 0.000
Se 0.500 0.500 0.000

VASP energy, eV per atom: -2.39
Offset from the most stable computed form, meV per atom: 0
Spin magnetization, μB/f.u.: 0.0
Symmetry: P4/mbm (127)


19.
DFT (PBE) results for ZnGa2Se after structural relaxation.

Unit cell a=4.917 b=4.917 c=4.917 alpha=60.00 beta=60.00 gamma=60.00
Element x y z (fractional)
Zn 0.000 0.000 0.000
Ga 0.250 0.250 0.250
Ga 0.750 0.750 0.750
Se 0.500 0.500 0.500

VASP energy, eV per atom: -2.63
Offset from the most stable computed form, meV per atom: 146
Spin magnetization, μB/f.u.: 0.0
Symmetry: Fm-3m (225)


20.
DFT (PBE) results for Zn2GaSe4 after structural relaxation.

Unit cell a=5.674 b=5.674 c=5.369 alpha=90.00 beta=90.00 gamma=90.00
Element x y z (fractional)
Zn 0.000 0.500 0.000
Zn 0.500 0.000 0.000
Ga 0.000 0.000 0.500
Se 0.262 0.262 0.732
Se 0.262 0.738 0.268
Se 0.738 0.262 0.268
Se 0.738 0.738 0.732

VASP energy, eV per atom: -3.29
Offset from the most stable computed form, meV per atom: 4
Spin magnetization, μB/f.u.: 0.0
Symmetry: P-42m (111)


Computed formation energy (no corrections), in the same sequence as the records: -1.118 -0.803 -0.815 -1.268 -1.006 -0.528 0.222 0.963 0.014 -0.511 -0.211 -0.063 -0.444 0.317 -0.439 0.244 0.123 0.026 0.078 -0.507 eV/atom.